The following is a DFT calculation (PBE) of a relaxed Rb2In12Ag crystal.

```
30
Lattice="-0.189 -1.340 -6.943 5.316 -4.607 0.744 -11.997 -13.375 2.907" Properties=species:S:1:pos:R:3 pbc="T T T"
In -3.454 -7.531 0.331
In -7.307 -13.978 -0.708
In -4.412 -7.452 -3.262
In -2.521 -12.322 -2.374
In 2.928 -4.919 -0.933
In -0.827 -10.052 -0.425
In -1.548 -7.558 -2.103
In -9.871 -11.005 2.392
In 0.270 -2.616 -1.304
In -5.210 -10.236 -3.874
In 2.833 -5.589 -4.404
In -4.112 -4.584 0.996
In -1.785 -9.973 -4.018
In -9.703 -13.733 1.111
In 0.175 -3.285 -4.776
In -5.980 -8.818 -0.523
In -7.045 -16.036 1.484
In -5.322 -11.764 -1.189
In -7.885 -8.791 1.910
In -7.139 -16.706 -1.987
In -2.126 -2.371 0.515
In 0.437 -5.344 -2.584
In -3.291 -10.904 0.977
In -9.797 -14.403 -2.361
Rb -0.319 -5.622 1.093
Rb -9.115 -10.726 -1.286
Rb -3.071 -3.989 -2.750
Rb -6.362 -12.360 2.558
Ag -0.094 -0.670 -3.472
Ag 2.658 -2.303 0.372
```

Computed properties:
Calculated formation energy = -0.058 eV/atom
Volume = 910.8 Å³ per cell
Space-group type = No. 125
DOS at the Fermi energy = 0.51 states/eV/atom